(1)
Y2VPd2 | GGA-PBE | relaxed

a b c (Å): 8.2482 8.2482 8.2482
angles (deg): 153.08 153.08 38.44
With the nearest neighbours (Å) after each atom.
Element x y z (fractional)
Y: 0.1111 0.1111 0.0000  4 Pd 2.89, 4 V 3.22
Y: 0.8889 0.8889 0.0000  4 Pd 2.89, 4 V 3.22
V: 0.5000 0.5000 0.0000  8 Y 3.22
Pd: 0.2500 0.7500 0.5000  4 Pd 2.72, 4 Y 2.89
Pd: 0.7500 0.2500 0.5000  4 Pd 2.72, 4 Y 2.89

Output
- Crystal system: tetragonal
- Polymorph energy (0 for the lowest one): 358 meV/atom
- Theoretical density: 6.384 Mg/m³


(2)
Y2V2Pd | GGA-PBE | relaxed

a b c (Å): 6.6505 6.6505 4.7245
angles (deg): 90.00 90.00 90.00
With the nearest neighbours (Å) after each atom.
Element x y z (fractional)
Y: 0.1773 0.3227 0.0000  6 V 3.05-3.09, 1 Y 3.34, 4 Pd 3.40
Y: 0.3227 0.8227 0.0000  6 V 3.05-3.09, 1 Y 3.34, 4 Pd 3.40
Y: 0.6773 0.1773 0.0000  6 V 3.05-3.09, 1 Y 3.34, 4 Pd 3.40
Y: 0.8227 0.6773 0.0000  6 V 3.05-3.09, 1 Y 3.34, 4 Pd 3.40
V: 0.1170 0.6170 0.5000  1 V 2.20
V: 0.3830 0.1170 0.5000  1 V 2.20
V: 0.6170 0.8830 0.5000  1 V 2.20
V: 0.8830 0.3830 0.5000  1 V 2.20
Pd: 0.0000 0.0000 0.5000  4 V 2.66
Pd: 0.5000 0.5000 0.5000  4 V 2.66

Output
- Crystal system: tetragonal
- Theoretical density: 6.137 Mg/m³


(3)
YV3Pd | GGA-PBE | relaxed

a b c (Å): 4.6366 4.6366 4.6366
angles (deg): 90.00 90.00 90.00
With the nearest neighbours (Å) after each atom.
Element x y z (fractional)
Y: 0.0000 0.0000 0.0000  6 V 2.32
V: 0.0000 0.0000 0.5000  2 Y 2.32
V: 0.0000 0.5000 0.0000  2 Y 2.32
V: 0.5000 0.0000 0.0000  2 Y 2.32
Pd: 0.5000 0.5000 0.5000  12 V 3.28

Output
- Crystal system: cubic
- Polymorph energy (0 for the lowest one): 1082 meV/atom
- Theoretical density: 5.800 Mg/m³


| no. | energy of formation (eV per atom) |
| --- | --- |
| 1 | -0.089 |
| 2 | 0.102 |
| 3 | 1.962 |